1.
# BeSnPtO2 (PBE, relaxed)
# - SG = P4/mmm
# - raw formation energy (eV per atom) = -0.04
# - calculated density (Mg/m³) = 7.06
data_BeSnPtO2
_chemical_formula_sum 'Be1 Sn1 Pt1 O2'
_symmetry_space_group_name_H-M 'P 1'
_symmetry_Int_Tables_number 1
_cell_length_a 3.8430
_cell_length_b 5.6543
_cell_length_c 3.8430
_cell_angle_alpha 90.00
_cell_angle_beta 90.00
_cell_angle_gamma 90.00
loop_
_symmetry_equiv_pos_as_xyz
'x,y,z'
loop_
_atom_site_label
_atom_site_fract_x
_atom_site_fract_y
_atom_site_fract_z
O1 0.0000 0.0000 0.5000
O2 0.5000 0.0000 0.0000
Be1 0.5000 0.5000 0.5000
Sn1 0.0000 0.0000 0.0000
Pt1 0.0000 0.5000 0.0000

2.
# Sr3Be2PtO6 (PBE, relaxed)
# - SG = P-3m1
# - raw formation energy (eV per atom) = -2.05
# - calculated density (Mg/m³) = 5.29
data_Sr3Be2PtO6
_chemical_formula_sum 'Sr3 Be2 Pt1 O6'
_symmetry_space_group_name_H-M 'P 1'
_symmetry_Int_Tables_number 1
_cell_length_a 5.5537
_cell_length_b 5.5537
_cell_length_c 6.7183
_cell_angle_alpha 90.00
_cell_angle_beta 90.00
_cell_angle_gamma 120.00
loop_
_symmetry_equiv_pos_as_xyz
'x,y,z'
loop_
_atom_site_label
_atom_site_fract_x
_atom_site_fract_y
_atom_site_fract_z
Sr1 0.3333 0.6667 0.6743
Sr2 0.6667 0.3333 0.3257
Sr3 0.0000 0.0000 0.0000
Be1 0.6667 0.3333 0.7447
Be2 0.3333 0.6667 0.2553
Pt1 0.0000 0.0000 0.5000
O1 0.6498 0.8249 0.2710
O2 0.1751 0.3502 0.2710
O3 0.1751 0.8249 0.2710
O4 0.8249 0.6498 0.7290
O5 0.3502 0.1751 0.7290
O6 0.8249 0.1751 0.7290

3.
# SrBe4Pt3O12 (PBE, relaxed)
# - SG = R32
# - raw formation energy (eV per atom) = -1.46
# - calculated density (Mg/m³) = 6.65
data_SrBe4Pt3O12
_chemical_formula_sum 'Sr1 Be4 Pt3 O12'
_symmetry_space_group_name_H-M 'P 1'
_symmetry_Int_Tables_number 1
_cell_length_a 6.3720
_cell_length_b 6.3720
_cell_length_c 6.3720
_cell_angle_alpha 105.22
_cell_angle_beta 105.22
_cell_angle_gamma 105.22
loop_
_symmetry_equiv_pos_as_xyz
'x,y,z'
loop_
_atom_site_label
_atom_site_fract_x
_atom_site_fract_y
_atom_site_fract_z
Sr1 0.0000 0.0000 0.0000
Be1 0.9277 0.0723 0.5000
Be2 0.0723 0.5000 0.9277
Be3 0.5000 0.9277 0.0723
Be4 0.5000 0.5000 0.5000
Pt1 0.5652 0.4348 0.0000
Pt2 0.4348 0.0000 0.5652
Pt3 0.0000 0.5652 0.4348
O1 0.5000 0.3454 0.6546
O2 0.9155 0.5000 0.0845
O3 0.0845 0.9155 0.5000
O4 0.5000 0.0845 0.9155
O5 0.3631 0.9617 0.2346
O6 0.2346 0.3631 0.9617
O7 0.9617 0.2346 0.3631
O8 0.6369 0.7654 0.0383
O9 0.0383 0.6369 0.7654
O10 0.7654 0.0383 0.6369
O11 0.6546 0.5000 0.3454
O12 0.3454 0.6546 0.5000

4.
# SrBePtO5 (PBE, relaxed)
# - SG = C2/c
# - raw formation energy (eV per atom) = -1.50
# - calculated density (Mg/m³) = 6.36
data_SrBePtO5
_chemical_formula_sum 'Sr2 Be2 Pt2 O10'
_symmetry_space_group_name_H-M 'P 1'
_symmetry_Int_Tables_number 1
_cell_length_a 5.5771
_cell_length_b 5.5771
_cell_length_c 7.1850
_cell_angle_alpha 103.98
_cell_angle_beta 103.98
_cell_angle_gamma 107.71
loop_
_symmetry_equiv_pos_as_xyz
'x,y,z'
loop_
_atom_site_label
_atom_site_fract_x
_atom_site_fract_y
_atom_site_fract_z
Sr1 0.3458 0.6542 0.2500
Sr2 0.6542 0.3458 0.7500
Be1 0.6997 0.3003 0.2500
Be2 0.3003 0.6997 0.7500
Pt1 0.0000 0.0000 0.5000
Pt2 0.0000 0.0000 0.0000
O1 0.0785 0.9215 0.2500
O2 0.9215 0.0785 0.7500
O3 0.8920 0.3024 0.1127
O4 0.1080 0.6976 0.8873
O5 0.6976 0.1080 0.3873
O6 0.3024 0.8920 0.6127
O7 0.7656 0.6124 0.4131
O8 0.2344 0.3876 0.5869
O9 0.3876 0.2344 0.0869
O10 0.6124 0.7656 0.9131

5.
# Sr2Be2PtO6 (PBE, relaxed)
# - SG = R-3m
# - raw formation energy (eV per atom) = -2.12
# - calculated density (Mg/m³) = 6.02
data_Sr2Be2PtO6
_chemical_formula_sum 'Sr2 Be2 Pt1 O6'
_symmetry_space_group_name_H-M 'P 1'
_symmetry_Int_Tables_number 1
_cell_length_a 5.3591
_cell_length_b 5.3591
_cell_length_c 6.1960
_cell_angle_alpha 64.38
_cell_angle_beta 64.38
_cell_angle_gamma 60.00
loop_
_symmetry_equiv_pos_as_xyz
'x,y,z'
loop_
_atom_site_label
_atom_site_fract_x
_atom_site_fract_y
_atom_site_fract_z
Sr1 0.7834 0.7834 0.6500
Sr2 0.2166 0.2166 0.3500
Be1 0.4103 0.4103 0.7691
Be2 0.5897 0.5897 0.2309
Pt1 0.0000 0.0000 0.0000
O1 0.7501 0.7501 0.2470
O2 0.2529 0.7501 0.2470
O3 0.7501 0.2529 0.2470
O4 0.2499 0.7471 0.7530
O5 0.7471 0.2499 0.7530
O6 0.2499 0.2499 0.7530

6.
# Sr2BePtO6 (PBE, relaxed)
# - SG = R-3m
# - raw formation energy (eV per atom) = -1.73
# - calculated density (Mg/m³) = 6.60
data_Sr2BePtO6
_chemical_formula_sum 'Sr4 Be2 Pt2 O12'
_symmetry_space_group_name_H-M 'P 1'
_symmetry_Int_Tables_number 1
_cell_length_a 5.5052
_cell_length_b 5.5052
_cell_length_c 9.6447
_cell_angle_alpha 73.42
_cell_angle_beta 73.42
_cell_angle_gamma 60.00
loop_
_symmetry_equiv_pos_as_xyz
'x,y,z'
loop_
_atom_site_label
_atom_site_fract_x
_atom_site_fract_y
_atom_site_fract_z
Sr1 0.8690 0.8690 0.3931
Sr2 0.1310 0.1310 0.6069
Sr3 0.7144 0.7144 0.8569
Sr4 0.2856 0.2856 0.1431
Be1 0.0000 0.0000 0.0000
Be2 0.5000 0.5000 0.5000
Pt1 0.5903 0.5903 0.2292
Pt2 0.4097 0.4097 0.7708
O1 0.8553 0.3859 0.3729
O2 0.3859 0.8553 0.3729
O3 0.3859 0.3859 0.3729
O4 0.1447 0.6141 0.6271
O5 0.6141 0.1447 0.6271
O6 0.6141 0.6141 0.6271
O7 0.7186 0.1969 0.8876
O8 0.1969 0.7186 0.8876
O9 0.1969 0.1969 0.8876
O10 0.2814 0.8031 0.1124
O11 0.8031 0.2814 0.1124
O12 0.8031 0.8031 0.1124

7.
# SrBePtO4 (PBE, relaxed)
# - SG = Cmcm
# - raw formation energy (eV per atom) = -1.43
# - calculated density (Mg/m³) = 6.33
data_SrBePtO4
_chemical_formula_sum 'Sr2 Be2 Pt2 O8'
_symmetry_space_group_name_H-M 'P 1'
_symmetry_Int_Tables_number 1
_cell_length_a 5.4754
_cell_length_b 5.4754
_cell_length_c 6.6964
_cell_angle_alpha 90.00
_cell_angle_beta 90.00
_cell_angle_gamma 111.68
loop_
_symmetry_equiv_pos_as_xyz
'x,y,z'
loop_
_atom_site_label
_atom_site_fract_x
_atom_site_fract_y
_atom_site_fract_z
Sr1 0.5000 0.5000 0.5000
Sr2 0.5000 0.5000 0.0000
Be1 0.1201 0.8799 0.2500
Be2 0.8799 0.1201 0.7500
Pt1 0.8254 0.1746 0.2500
Pt2 0.1746 0.8254 0.7500
O1 0.2005 0.2058 0.7500
O2 0.7942 0.7995 0.7500
O3 0.7827 0.2173 0.9589
O4 0.7827 0.2173 0.5411
O5 0.2173 0.7827 0.0411
O6 0.2173 0.7827 0.4589
O7 0.7995 0.7942 0.2500
O8 0.2058 0.2005 0.2500

8.
# Ti2BePtO (PBE, relaxed)
# - SG = P4/mmm
# - raw formation energy (eV per atom) = 0.42
# - calculated density (Mg/m³) = 5.55
data_Ti2BePtO
_chemical_formula_sum 'Ti2 Be1 Pt1 O1'
_symmetry_space_group_name_H-M 'P 1'
_symmetry_Int_Tables_number 1
_cell_length_a 4.8065
_cell_length_b 4.0901
_cell_length_c 4.8065
_cell_angle_alpha 90.00
_cell_angle_beta 90.00
_cell_angle_gamma 90.00
loop_
_symmetry_equiv_pos_as_xyz
'x,y,z'
loop_
_atom_site_label
_atom_site_fract_x
_atom_site_fract_y
_atom_site_fract_z
Be1 0.0000 0.5000 0.0000
O1 0.5000 0.5000 0.5000
Pt1 0.0000 0.0000 0.0000
Ti1 0.0000 0.0000 0.5000
Ti2 0.5000 0.0000 0.0000